No. 1
VASP calculation (PBE) on crystalline BeFeSiGe at its relaxed geometry.

Geometry as CIF:
```
data_BeFeSiGe
_chemical_formula_sum 'Be1 Fe1 Si1 Ge1'
_space_group_name_H-M_alt 'P 1'
_space_group_IT_number 1
_space_group_name_Hall 'P 1'
_cell_length_a 4.1086
_cell_length_b 4.1086
_cell_length_c 4.1086
_cell_angle_alpha 60.00
_cell_angle_beta 60.00
_cell_angle_gamma 60.00
loop_
_atom_site_label
_atom_site_type_symbol
_atom_site_fract_x
_atom_site_fract_y
_atom_site_fract_z
Be1 Be 0.0000 0.0000 0.0000
Fe1 Fe 0.2500 0.2500 0.2500
Si1 Si 0.5000 0.5000 0.5000
Ge1 Ge 0.7500 0.7500 0.7500
```

---

No. 2
VASP calculation (PBE) on crystalline BeFeSiGe at its relaxed geometry.

Geometry as CIF:
```
data_BeFeSiGe
_chemical_formula_sum 'Be1 Fe1 Si1 Ge1'
_space_group_name_H-M_alt 'P 1'
_space_group_IT_number 1
_space_group_name_Hall 'P 1'
_cell_length_a 4.0852
_cell_length_b 4.0852
_cell_length_c 4.0852
_cell_angle_alpha 60.00
_cell_angle_beta 60.00
_cell_angle_gamma 60.00
loop_
_atom_site_label
_atom_site_type_symbol
_atom_site_fract_x
_atom_site_fract_y
_atom_site_fract_z
Be1 Be 0.0000 0.0000 0.0000
Fe1 Fe 0.7500 0.7500 0.7500
Si1 Si 0.2500 0.2500 0.2500
Ge1 Ge 0.5000 0.5000 0.5000
```

---

No. 3
VASP calculation (PBE) on crystalline BeFeSiGe at its relaxed geometry.

Geometry as CIF:
```
data_BeFeSiGe
_chemical_formula_sum 'Be1 Fe1 Si1 Ge1'
_space_group_name_H-M_alt 'P 1'
_space_group_IT_number 1
_space_group_name_Hall 'P 1'
_cell_length_a 4.0498
_cell_length_b 4.0498
_cell_length_c 4.0498
_cell_angle_alpha 60.00
_cell_angle_beta 60.00
_cell_angle_gamma 60.00
loop_
_atom_site_label
_atom_site_type_symbol
_atom_site_fract_x
_atom_site_fract_y
_atom_site_fract_z
Be1 Be 0.0000 0.0000 0.0000
Fe1 Fe 0.5000 0.5000 0.5000
Si1 Si 0.2500 0.2500 0.2500
Ge1 Ge 0.7500 0.7500 0.7500
```

---

No. 4
VASP calculation (PBE) on crystalline BeFeGeW at its relaxed geometry.

Geometry as CIF:
```
data_BeFeGeW
_chemical_formula_sum 'Be1 Fe1 Ge1 W1'
_space_group_name_H-M_alt 'P 1'
_space_group_IT_number 1
_space_group_name_Hall 'P 1'
_cell_length_a 4.1441
_cell_length_b 4.1441
_cell_length_c 4.1441
_cell_angle_alpha 60.00
_cell_angle_beta 60.00
_cell_angle_gamma 60.00
loop_
_atom_site_label
_atom_site_type_symbol
_atom_site_fract_x
_atom_site_fract_y
_atom_site_fract_z
Be1 Be 0.0000 0.0000 0.0000
Fe1 Fe 0.7500 0.7500 0.7500
Ge1 Ge 0.5000 0.5000 0.5000
W1 W 0.2500 0.2500 0.2500
```

---

We obtain final energy values of -20.39 -20.18 -21.11 -28.41 eV for the cell shown for the records listed above, in that order.